No. 1
! PBE-GGA Ca2Ge4Pd5, relaxed; values from VASP
&SYSTEM
  ibrav = 0, nat = 11, ntyp = 3
/
ATOMIC_SPECIES
Ca 40.08 Ca.upf
Ge 72.64 Ge.upf
Pd 106.42 Pd.upf
ATOMIC_POSITIONS crystal
Ca 0.1316 0.1316 0.8684
Ca 0.8684 0.8684 0.1316
Ge 0.2149 0.5265 0.4735
Ge 0.4735 0.7851 0.2149
Ge 0.5265 0.2149 0.7851
Ge 0.7851 0.4735 0.5265
Pd 0.0000 0.0000 0.5000
Pd 0.2500 0.2500 0.2500
Pd 0.5000 0.5000 0.0000
Pd 0.5000 0.5000 0.5000
Pd 0.7500 0.7500 0.7500
CELL_PARAMETERS angstrom
0.0000 4.9043 7.6180
2.8682 0.0000 7.6180
2.8682 4.9043 0.0000
! **Final energy**: -5.0308 eV per atom
! **ΔH_f (0 K)**: -627 meV/atom
! **Space-group type**: Fmmm

No. 2
! PBE-GGA CaGe4Pd12, relaxed; values from VASP
&SYSTEM
  ibrav = 0, nat = 17, ntyp = 3
/
ATOMIC_SPECIES
Ca 40.08 Ca.upf
Ge 72.64 Ge.upf
Pd 106.42 Pd.upf
ATOMIC_POSITIONS crystal
Ca 0.0000 0.0000 0.0000
Ge 0.0000 0.0000 0.5000
Ge 0.0000 0.5000 0.0000
Ge 0.5000 0.0000 0.0000
Ge 0.5000 0.5000 0.5000
Pd 0.1620 0.3439 0.5059
Pd 0.1620 0.6561 0.8181
Pd 0.1819 0.8380 0.3439
Pd 0.3439 0.1819 0.8380
Pd 0.3439 0.5059 0.1620
Pd 0.4941 0.8380 0.6561
Pd 0.5059 0.1620 0.3439
Pd 0.6561 0.4941 0.8380
Pd 0.6561 0.8181 0.1620
Pd 0.8181 0.1620 0.6561
Pd 0.8380 0.3439 0.1819
Pd 0.8380 0.6561 0.4941
CELL_PARAMETERS angstrom
-4.2718 4.2718 4.2718
4.2718 -4.2718 4.2718
4.2718 4.2718 -4.2718
! **Final energy**: -5.1423 eV per atom
! **ΔH_f (0 K)**: -273 meV/atom
! **Space-group type**: Im-3

No. 3
! PBE-GGA Ca2Ge3Pd4, relaxed; values from VASP
&SYSTEM
  ibrav = 0, nat = 18, ntyp = 3
/
ATOMIC_SPECIES
Ca 40.08 Ca.upf
Ge 72.64 Ge.upf
Pd 106.42 Pd.upf
ATOMIC_POSITIONS crystal
Ca 0.1038 0.8962 0.9074
Ca 0.3962 0.6038 0.4074
Ca 0.6038 0.3962 0.5926
Ca 0.8962 0.1038 0.0926
Ge 0.0000 0.0000 0.5000
Ge 0.0137 0.4863 0.7500
Ge 0.4863 0.0137 0.2500
Ge 0.5000 0.5000 0.0000
Ge 0.5137 0.9863 0.7500
Ge 0.9863 0.5137 0.2500
Pd 0.1780 0.8220 0.5151
Pd 0.1818 0.3182 0.7500
Pd 0.3182 0.1818 0.2500
Pd 0.3220 0.6780 0.0151
Pd 0.6780 0.3220 0.9849
Pd 0.6818 0.8182 0.7500
Pd 0.8182 0.6818 0.2500
Pd 0.8220 0.1780 0.4849
CELL_PARAMETERS angstrom
2.8729 -7.6567 0.0000
2.8729 7.6567 0.0000
0.0000 0.0000 7.5412
! **Final energy**: -4.9980 eV per atom
! **ΔH_f (0 K)**: -706 meV/atom
! **Space-group type**: Cmce

No. 4
! PBE-GGA CaPm2Ge3Pd4, relaxed; values from VASP
&SYSTEM
  ibrav = 0, nat = 10, ntyp = 4
/
ATOMIC_SPECIES
Ca 40.08 Ca.upf
Pm 145.00 Pm.upf
Ge 72.64 Ge.upf
Pd 106.42 Pd.upf
ATOMIC_POSITIONS crystal
Ca 0.0000 0.0000 0.0000
Pm 0.0000 0.5000 0.7224
Pm 0.5000 0.0000 0.2776
Ge 0.0000 0.5000 0.3776
Ge 0.5000 0.0000 0.6224
Ge 0.5000 0.5000 0.0000
Pd 0.0000 0.0000 0.5000
Pd 0.0000 0.5000 0.1575
Pd 0.5000 0.0000 0.8425
Pd 0.5000 0.5000 0.5000
CELL_PARAMETERS angstrom
4.2944 0.0000 0.0000
0.0000 4.2944 0.0000
0.0000 0.0000 11.1619
! **Final energy**: -5.3929 eV per atom
! **ΔH_f (0 K)**: -780 meV/atom
! **Space-group type**: P-4m2

No. 5
! PBE-GGA CaPmGe2Pd5, relaxed; values from VASP
&SYSTEM
  ibrav = 0, nat = 9, ntyp = 4
/
ATOMIC_SPECIES
Ca 40.08 Ca.upf
Pm 145.00 Pm.upf
Ge 72.64 Ge.upf
Pd 106.42 Pd.upf
ATOMIC_POSITIONS crystal
Ca 0.0000 0.0000 0.0000
Pm 0.0000 0.0000 0.5000
Ge 0.5000 0.5000 0.1367
Ge 0.5000 0.5000 0.8633
Pd 0.0000 0.5000 0.2735
Pd 0.0000 0.5000 0.7265
Pd 0.5000 0.0000 0.2735
Pd 0.5000 0.0000 0.7265
Pd 0.5000 0.5000 0.5000
CELL_PARAMETERS angstrom
4.2837 0.0000 0.0000
0.0000 4.2837 0.0000
0.0000 0.0000 9.1751
! **Final energy**: -5.4291 eV per atom
! **ΔH_f (0 K)**: -768 meV/atom
! **Space-group type**: P4/mmm

No. 6
! PBE-GGA CaPrGe2Pd5, relaxed; values from VASP
&SYSTEM
  ibrav = 0, nat = 9, ntyp = 4
/
ATOMIC_SPECIES
Ca 40.08 Ca.upf
Pr 140.91 Pr.upf
Ge 72.64 Ge.upf
Pd 106.42 Pd.upf
ATOMIC_POSITIONS crystal
Ca 0.0000 0.0000 0.0000
Pr 0.0000 0.0000 0.5000
Ge 0.5000 0.5000 0.1369
Ge 0.5000 0.5000 0.8631
Pd 0.0000 0.5000 0.2711
Pd 0.0000 0.5000 0.7289
Pd 0.5000 0.0000 0.2711
Pd 0.5000 0.0000 0.7289
Pd 0.5000 0.5000 0.5000
CELL_PARAMETERS angstrom
4.3103 0.0000 0.0000
0.0000 4.3103 0.0000
0.0000 0.0000 9.1854
! **Final energy**: -5.4095 eV per atom
! **ΔH_f (0 K)**: -745 meV/atom
! **Space-group type**: P4/mmm

No. 7
! PBE-GGA Ca2Ge4PdPt3, relaxed; values from VASP
&SYSTEM
  ibrav = 0, nat = 10, ntyp = 4
/
ATOMIC_SPECIES
Ca 40.08 Ca.upf
Ge 72.64 Ge.upf
Pd 106.42 Pd.upf
Pt 195.08 Pt.upf
ATOMIC_POSITIONS crystal
Ca 0.0000 0.5000 0.2479
Ca 0.5000 0.0000 0.7521
Ge 0.0000 0.0000 0.0000
Ge 0.0000 0.5000 0.6289
Ge 0.5000 0.0000 0.3711
Ge 0.5000 0.5000 0.0000
Pd 0.0000 0.0000 0.5000
Pt 0.0000 0.5000 0.8702
Pt 0.5000 0.0000 0.1298
Pt 0.5000 0.5000 0.5000
CELL_PARAMETERS angstrom
4.3316 0.0000 0.0000
0.0000 4.3316 0.0000
0.0000 0.0000 10.2764
! **Final energy**: -5.3665 eV per atom
! **ΔH_f (0 K)**: -788 meV/atom
! **Space-group type**: P-4m2

No. 8
! PBE-GGA CaGePd2Pt, relaxed; values from VASP
&SYSTEM
  ibrav = 0, nat = 5, ntyp = 4
/
ATOMIC_SPECIES
Ca 40.08 Ca.upf
Ge 72.64 Ge.upf
Pd 106.42 Pd.upf
Pt 195.08 Pt.upf
ATOMIC_POSITIONS crystal
Ca 0.0000 0.0000 0.0000
Ge 0.5000 0.5000 0.5000
Pd 0.0000 0.5000 0.5000
Pd 0.5000 0.0000 0.5000
Pt 0.5000 0.5000 0.0000
CELL_PARAMETERS angstrom
4.7182 0.0000 0.0000
0.0000 4.7182 0.0000
0.0000 0.0000 4.7325
! **Final energy**: -5.0257 eV per atom
! **ΔH_f (0 K)**: -417 meV/atom
! **Space-group type**: P4/mmm

Number 1: mass density 6.995 g/cm³. Number 2: mass density 8.562 g/cm³. Number 3: mass density 7.245 g/cm³. Number 4: mass density 7.855 g/cm³. Number 5: mass density 8.506 g/cm³. Number 6: mass density 8.352 g/cm³. Number 7: mass density 9.149 g/cm³. Number 8: mass density 8.206 g/cm³.